1.
Computed, not measured: crystalline Pr2MgSb4Rh3 at its relaxed geometry at the GGA-PBE level of DFT.

Calculated values
E_form (uncorrected)	-17.545	kcal/mol of atoms
symmetry	P-4m2 (115)

Structure (POSCAR):
```
Pr2MgSb4Rh3
1.0
4.5004 0.0000 0.0000
0.0000 4.5004 0.0000
0.0000 0.0000 11.2187
Pr Mg Sb Rh
2 1 4 3
direct
0.0000 0.5000 0.2415
0.5000 0.0000 0.7585
0.0000 0.0000 0.5000
0.0000 0.0000 0.0000
0.0000 0.5000 0.6454
0.5000 0.0000 0.3546
0.5000 0.5000 0.0000
0.0000 0.5000 0.8775
0.5000 0.0000 0.1225
0.5000 0.5000 0.5000
```

2.
Computed, not measured: crystalline PrMgSi2Rh at its relaxed geometry at the GGA-PBE level of DFT.

Calculated values
E_form (uncorrected)	-17.294	kcal/mol of atoms
symmetry	I-4m2 (119)

Structure (POSCAR):
```
PrMgSi2Rh
1.0
4.1115 0.0000 0.0000
0.0000 4.1115 0.0000
0.0000 0.0000 10.9641
Pr Mg Si Rh
2 2 4 2
direct
0.0000 0.0000 0.0000
0.5000 0.5000 0.5000
0.0000 0.5000 0.7500
0.5000 0.0000 0.2500
0.0000 0.0000 0.3907
0.0000 0.0000 0.6093
0.5000 0.5000 0.1093
0.5000 0.5000 0.8907
0.0000 0.5000 0.2500
0.5000 0.0000 0.7500
```

3.
Computed, not measured: crystalline Pr2Mg2Si4Rh at its relaxed geometry at the GGA-PBE level of DFT.

Calculated values
E_form (uncorrected)	-11.450	kcal/mol of atoms
symmetry	I4/mmm (139)

Structure (POSCAR):
```
Pr2Mg2Si4Rh
1.0
-3.1027 3.1027 4.5043
3.1027 -3.1027 4.5043
3.1027 3.1027 -4.5043
Pr Mg Si Rh
2 2 4 1
direct
0.2500 0.7500 0.5000
0.7500 0.2500 0.5000
0.2170 0.2170 0.0000
0.7830 0.7830 0.0000
0.2174 0.2174 0.4348
0.2174 0.7826 0.0000
0.7826 0.2174 0.0000
0.7826 0.7826 0.5652
0.5000 0.5000 0.0000
```

4.
Computed, not measured: crystalline PrMg2SiRh2 at its relaxed geometry at the GGA-PBE level of DFT.

Calculated values
E_form (uncorrected)	-11.230	kcal/mol of atoms
symmetry	P4/mmm (123)

Structure (POSCAR):
```
PrMg2SiRh2
1.0
4.5339 0.0000 0.0000
0.0000 4.5339 0.0000
0.0000 0.0000 6.0769
Pr Mg Si Rh
1 2 1 2
direct
0.0000 0.0000 0.0000
0.5000 0.5000 0.2488
0.5000 0.5000 0.7512
0.0000 0.0000 0.5000
0.0000 0.5000 0.5000
0.5000 0.0000 0.5000
```

5.
Computed, not measured: crystalline PrSmMgRh at its relaxed geometry at the GGA-PBE level of DFT.

Calculated values
formation enthalpy at 0 K	-0.30	eV/atom
symmetry	F-43m (216)

Structure (POSCAR):
```
PrSmMgRh
1.0
7.3653 0.0000 0.0000
0.0000 7.3653 0.0000
0.0000 0.0000 7.3653
Pr Sm Mg Rh
4 4 4 4
direct
0.0000 0.0000 0.0000
0.0000 0.5000 0.5000
0.5000 0.0000 0.5000
0.5000 0.5000 0.0000
0.0000 0.0000 0.5000
0.0000 0.5000 0.0000
0.5000 0.0000 0.0000
0.5000 0.5000 0.5000
0.2500 0.2500 0.7500
0.2500 0.7500 0.2500
0.7500 0.2500 0.2500
0.7500 0.7500 0.7500
0.2500 0.2500 0.2500
0.2500 0.7500 0.7500
0.7500 0.2500 0.7500
0.7500 0.7500 0.2500
```

6.
Computed, not measured: crystalline Pr2Mg2SnRh5 at its relaxed geometry at the GGA-PBE level of DFT.

Calculated values
formation enthalpy at 0 K	-0.47	eV/atom
symmetry	P4/mbm (127)

Structure (POSCAR):
```
Pr2Mg2SnRh5
1.0
10.1677 0.0000 0.0000
0.0000 10.1677 0.0000
0.0000 0.0000 3.6143
Pr Mg Sn Rh
4 4 2 10
direct
0.1759 0.3241 0.0000
0.3241 0.8241 0.0000
0.6759 0.1759 0.0000
0.8241 0.6759 0.0000
0.1234 0.6234 0.0000
0.3766 0.1234 0.0000
0.6234 0.8766 0.0000
0.8766 0.3766 0.0000
0.0000 0.0000 0.0000
0.5000 0.5000 0.0000
0.0000 0.5000 0.5000
0.0602 0.7987 0.5000
0.2013 0.0602 0.5000
0.2987 0.5602 0.5000
0.4398 0.2987 0.5000
0.5000 0.0000 0.5000
0.5602 0.7013 0.5000
0.7013 0.4398 0.5000
0.7987 0.9398 0.5000
0.9398 0.2013 0.5000
```

7.
Computed, not measured: crystalline Pr2MgSn3Rh4 at its relaxed geometry at the GGA-PBE level of DFT.

Calculated values
formation enthalpy at 0 K	-0.69	eV/atom
symmetry	P-4m2 (115)

Structure (POSCAR):
```
Pr2MgSn3Rh4
1.0
4.4044 0.0000 0.0000
0.0000 4.4044 0.0000
0.0000 0.0000 11.1073
Pr Mg Sn Rh
2 1 3 4
direct
0.0000 0.5000 0.2461
0.5000 0.0000 0.7539
0.0000 0.0000 0.5000
0.0000 0.5000 0.8704
0.5000 0.0000 0.1296
0.5000 0.5000 0.5000
0.0000 0.0000 0.0000
0.0000 0.5000 0.6357
0.5000 0.0000 0.3643
0.5000 0.5000 0.0000
```

8.
Computed, not measured: crystalline Pr2MgTa2Rh5 at its relaxed geometry at the GGA-PBE level of DFT.

Calculated values
formation enthalpy at 0 K	-0.36	eV/atom
symmetry	P4/mbm (127)

Structure (POSCAR):
```
Pr2MgTa2Rh5
1.0
11.0029 0.0000 0.0000
0.0000 11.0029 0.0000
0.0000 0.0000 3.1786
Pr Mg Ta Rh
4 2 4 10
direct
0.1720 0.3280 0.0000
0.3280 0.8280 0.0000
0.6720 0.1720 0.0000
0.8280 0.6720 0.0000
0.0000 0.0000 0.0000
0.5000 0.5000 0.0000
0.1368 0.6368 0.0000
0.3632 0.1368 0.0000
0.6368 0.8632 0.0000
0.8632 0.3632 0.0000
0.0000 0.5000 0.5000
0.0562 0.8030 0.5000
0.1970 0.0562 0.5000
0.3030 0.5562 0.5000
0.4438 0.3030 0.5000
0.5000 0.0000 0.5000
0.5562 0.6970 0.5000
0.6970 0.4438 0.5000
0.8030 0.9438 0.5000
0.9438 0.1970 0.5000
```

9.
Computed, not measured: crystalline PrYMgRh at its relaxed geometry at the GGA-PBE level of DFT.

Calculated values
formation enthalpy at 0 K	-0.34	eV/atom
symmetry	F-43m (216)

Structure (POSCAR):
```
PrYMgRh
1.0
7.3052 0.0000 0.0000
0.0000 7.3052 0.0000
0.0000 0.0000 7.3052
Pr Y Mg Rh
4 4 4 4
direct
0.0000 0.0000 0.0000
0.0000 0.5000 0.5000
0.5000 0.0000 0.5000
0.5000 0.5000 0.0000
0.0000 0.0000 0.5000
0.0000 0.5000 0.0000
0.5000 0.0000 0.0000
0.5000 0.5000 0.5000
0.2500 0.2500 0.7500
0.2500 0.7500 0.2500
0.7500 0.2500 0.2500
0.7500 0.7500 0.7500
0.2500 0.2500 0.2500
0.2500 0.7500 0.7500
0.7500 0.2500 0.7500
0.7500 0.7500 0.2500
```

10.
Computed, not measured: crystalline PrMgZnRh at its relaxed geometry at the GGA-PBE level of DFT.

Calculated values
formation enthalpy at 0 K	-0.35	eV/atom
symmetry	F-43m (216)

Structure (POSCAR):
```
PrMgZnRh
1.0
6.9075 0.0000 0.0000
0.0000 6.9075 0.0000
0.0000 0.0000 6.9075
Pr Mg Zn Rh
4 4 4 4
direct
0.0000 0.0000 0.0000
0.0000 0.5000 0.5000
0.5000 0.0000 0.5000
0.5000 0.5000 0.0000
0.0000 0.0000 0.5000
0.0000 0.5000 0.0000
0.5000 0.0000 0.0000
0.5000 0.5000 0.5000
0.2500 0.2500 0.7500
0.2500 0.7500 0.2500
0.7500 0.2500 0.2500
0.7500 0.7500 0.7500
0.2500 0.2500 0.2500
0.2500 0.7500 0.7500
0.7500 0.2500 0.7500
0.7500 0.7500 0.2500
```

11.
Computed, not measured: crystalline Pr6MgRu at its relaxed geometry at the GGA-PBE level of DFT.

Calculated values
formation enthalpy at 0 K	0.14	eV/atom
symmetry	P-1 (2)

Structure (POSCAR):
```
Pr6MgRu
1.0
7.0363 0.0000 0.0000
3.5140 6.1341 0.0000
3.4875 2.0380 6.6877
Pr Mg Ru
6 1 1
direct
0.0321 0.4196 0.2519
0.2058 0.9683 0.7488
0.4193 0.7966 0.2510
0.5807 0.2034 0.7490
0.7942 0.0317 0.2512
0.9679 0.5804 0.7481
0.5000 0.5000 0.0000
0.0000 0.0000 0.5000
```

12.
Computed, not measured: crystalline PrMg2Ru at its relaxed geometry at the GGA-PBE level of DFT.

Calculated values
formation enthalpy at 0 K	-0.14	eV/atom
symmetry	Pnma (62)

Structure (POSCAR):
```
PrMg2Ru
1.0
15.7580 0.0000 0.0000
0.0000 8.3022 0.0000
0.0000 0.0000 5.5530
Pr Mg Ru
8 16 8
direct
0.1055 0.2500 0.2463
0.1396 0.7500 0.0531
0.3604 0.2500 0.5531
0.3945 0.7500 0.7463
0.6055 0.2500 0.2537
0.6396 0.7500 0.4469
0.8604 0.2500 0.9469
0.8945 0.7500 0.7537
0.0418 0.0593 0.7286
0.0418 0.4407 0.7286
0.2103 0.5566 0.5472
0.2103 0.9434 0.5472
0.2897 0.0566 0.0472
0.2897 0.4434 0.0472
0.4582 0.5593 0.2286
0.4582 0.9407 0.2286
0.5418 0.0593 0.7714
0.5418 0.4407 0.7714
0.7103 0.5566 0.9528
0.7103 0.9434 0.9528
0.7897 0.0566 0.4528
0.7897 0.4434 0.4528
0.9582 0.5593 0.2714
0.9582 0.9407 0.2714
0.0660 0.7500 0.5433
0.1882 0.2500 0.7621
0.3118 0.7500 0.2621
0.4340 0.2500 0.0433
0.5660 0.7500 0.9567
0.6882 0.2500 0.7379
0.8118 0.7500 0.2379
0.9340 0.2500 0.4567
```

13.
Computed, not measured: crystalline PrMgRu at its relaxed geometry at the GGA-PBE level of DFT.

Calculated values
formation enthalpy at 0 K	-0.01	eV/atom
symmetry	Imma (74)

Structure (POSCAR):
```
PrMgRu
1.0
5.0735 0.0000 0.0000
0.0000 8.3795 0.0000
0.0000 0.0000 6.9970
Pr Mg Ru
4 4 4
direct
0.0000 0.0000 0.0000
0.0000 0.5000 0.0000
0.5000 0.0000 0.5000
0.5000 0.5000 0.5000
0.0000 0.2500 0.3994
0.0000 0.7500 0.6006
0.5000 0.2500 0.1006
0.5000 0.7500 0.8994
0.2500 0.2500 0.7500
0.2500 0.7500 0.2500
0.7500 0.2500 0.7500
0.7500 0.7500 0.2500
```

14.
Computed, not measured: crystalline PrMgRu at its relaxed geometry at the GGA-PBE level of DFT.

Calculated values
formation enthalpy at 0 K	-0.14	eV/atom
symmetry	Pmma (51)

Structure (POSCAR):
```
PrMgRu
1.0
12.6470 0.0000 0.0000
0.0000 4.3190 0.0000
0.0000 0.0000 7.5868
Pr Mg Ru
6 6 6
direct
0.0470 0.0000 0.2342
0.2500 0.0000 0.8593
0.4530 0.0000 0.2342
0.5470 0.0000 0.7658
0.7500 0.0000 0.1407
0.9530 0.0000 0.7658
0.1326 0.5000 0.5721
0.2500 0.5000 0.2094
0.3674 0.5000 0.5721
0.6326 0.5000 0.4279
0.7500 0.5000 0.7906
0.8674 0.5000 0.4279
0.0923 0.5000 0.9464
0.2500 0.0000 0.4407
0.4077 0.5000 0.9464
0.5923 0.5000 0.0536
0.7500 0.0000 0.5593
0.9077 0.5000 0.0536
```

15.
Computed, not measured: crystalline Pr8Mg3Ru2 at its relaxed geometry at the GGA-PBE level of DFT.

Calculated values
formation enthalpy at 0 K	0.00	eV/atom
symmetry	C2/m (12)

Structure (POSCAR):
```
Pr8Mg3Ru2
1.0
10.6070 -3.6193 0.0000
10.6070 3.6193 0.0000
-1.2827 0.0000 5.0651
Pr Mg Ru
8 3 2
direct
0.0409 0.5871 0.3137
0.0802 0.0802 0.0804
0.3474 0.3474 0.8468
0.4129 0.9591 0.6863
0.5871 0.0409 0.3137
0.6526 0.6526 0.1532
0.9198 0.9198 0.9196
0.9591 0.4129 0.6863
0.2644 0.7356 0.5000
0.5000 0.5000 0.0000
0.7356 0.2644 0.5000
0.2101 0.2101 0.2104
0.7899 0.7899 0.7896
```

16.
Computed, not measured: crystalline PrMg3Ru at its relaxed geometry at the GGA-PBE level of DFT.

Calculated values
energy above the most stable polymorph in this dataset	132.6	meV per atom
formation enthalpy at 0 K	0.02	eV/atom
symmetry	Amm2 (38)

Structure (POSCAR):
```
PrMg3Ru
1.0
4.7111 0.0000 0.0000
0.0000 4.7054 0.0000
0.0000 0.0000 10.9823
Pr Mg Ru
2 6 2
direct
0.0000 0.0000 0.0000
0.0000 0.5000 0.5000
0.0000 0.0000 0.2866
0.0000 0.5000 0.7866
0.5000 0.0000 0.5028
0.5000 0.0000 0.7678
0.5000 0.5000 0.0028
0.5000 0.5000 0.2678
0.0000 0.0000 0.6434
0.0000 0.5000 0.1434
```

17.
Computed, not measured: crystalline Pr2Mg3Ru2 at its relaxed geometry at the GGA-PBE level of DFT.

Calculated values
formation enthalpy at 0 K	-0.15	eV/atom
symmetry	C2/m (12)

Structure (POSCAR):
```
Pr2Mg3Ru2
1.0
10.5478 0.0000 0.0000
0.0000 4.5043 0.0000
-1.2080 0.0000 6.8826
Pr Mg Ru
4 6 4
direct
0.1297 0.0000 0.3604
0.3703 0.5000 0.6396
0.6297 0.5000 0.3604
0.8703 0.0000 0.6396
0.0000 0.5000 0.0000
0.1805 0.0000 0.8610
0.3195 0.5000 0.1390
0.5000 0.0000 0.0000
0.6805 0.5000 0.8610
0.8195 0.0000 0.1390
0.0803 0.5000 0.6482
0.4197 0.0000 0.3518
0.5803 0.0000 0.6482
0.9197 0.5000 0.3518
```

18.
Computed, not measured: crystalline Pr6MgRu2 at its relaxed geometry at the GGA-PBE level of DFT.

Calculated values
energy above the most stable polymorph in this dataset	69.5	meV per atom
formation enthalpy at 0 K	-0.08	eV/atom
symmetry	C2/m (12)

Structure (POSCAR):
```
Pr6MgRu2
1.0
5.2546 -2.6638 0.0000
5.2546 2.6638 0.0000
-1.9230 0.0000 9.2523
Pr Mg Ru
6 1 2
direct
0.0394 0.0394 0.3495
0.2921 0.2921 0.6645
0.3411 0.3411 0.1201
0.6589 0.6589 0.8799
0.7079 0.7079 0.3355
0.9606 0.9606 0.6505
0.0000 0.0000 0.0000
0.3883 0.3883 0.4051
0.6117 0.6117 0.5949
```

19.
Computed, not measured: crystalline Pr4MgRu2 at its relaxed geometry at the GGA-PBE level of DFT.

Calculated values
formation enthalpy at 0 K	-0.07	eV/atom
symmetry	R-3m (166)

Structure (POSCAR):
```
Pr4MgRu2
1.0
2.4381 1.4076 9.7232
-2.4381 1.4076 9.7232
0.0000 -2.8153 9.7232
Pr Mg Ru
4 1 2
direct
0.1087 0.1087 0.1087
0.2966 0.2966 0.2966
0.7034 0.7034 0.7034
0.8913 0.8913 0.8913
0.5000 0.5000 0.5000
0.4054 0.4054 0.4054
0.5946 0.5946 0.5946
```

20.
Computed, not measured: crystalline PrMg3Ru at its relaxed geometry at the GGA-PBE level of DFT.

Calculated values
energy above the most stable polymorph in this dataset	0.0	meV per atom
formation enthalpy at 0 K	-0.11	eV/atom
symmetry	P2_1/m (11)

Structure (POSCAR):
```
PrMg3Ru
1.0
5.4871 0.0000 0.0000
0.0000 6.0112 0.0000
-2.2330 0.0000 7.0521
Pr Mg Ru
2 6 2
direct
0.0996 0.2500 0.4073
0.9004 0.7500 0.5927
0.0253 0.2500 0.8803
0.4903 0.0000 0.2053
0.4903 0.5000 0.2053
0.5097 0.0000 0.7947
0.5097 0.5000 0.7947
0.9747 0.7500 0.1197
0.3381 0.7500 0.4683
0.6619 0.2500 0.5317
```